1.
DFT (PBE) results for a geometry-optimized DyTh2Te5 structure.

Summary:
ρ: 6.5 g cm⁻³

Cell lengths 6.2089, 7.6364, 14.9578 Å; angles 90.00, 90.00, 113.99 degrees
Closest atoms and distances in Å follow each position.
Element x y z (fractional)
Te (0.6563, 0.3126, 0.9246)  3 Th 3.12-3.22, 1 Dy 3.16
Te (0.3437, 0.6874, 0.0754)  3 Th 3.12-3.22, 1 Dy 3.16
Te (0.7478, 0.4956, 0.2500)  2 Dy 3.13, 2 Th 3.20
Te (0.2522, 0.5044, 0.7500)  2 Dy 3.13, 2 Th 3.20
Te (0.0489, 0.0978, 0.1242)  1 Dy 3.00, 2 Th 3.08-3.09
Te (0.9511, 0.9022, 0.6242)  1 Dy 3.00, 2 Th 3.08-3.09
Te (0.6563, 0.3126, 0.5754)  3 Th 3.12-3.22, 1 Dy 3.16
Te (0.3437, 0.6874, 0.4246)  3 Th 3.12-3.22, 1 Dy 3.16
Te (0.0489, 0.0978, 0.3758)  1 Dy 3.00, 2 Th 3.08-3.09
Te (0.9511, 0.9022, 0.8758)  1 Dy 3.00, 2 Th 3.08-3.09
Th (0.1596, 0.3193, 0.5540)  6 Te 3.08-3.22
Th (0.8404, 0.6807, 0.0540)  6 Te 3.08-3.22
Th (0.1596, 0.3193, 0.9460)  6 Te 3.08-3.22
Th (0.8404, 0.6807, 0.4460)  6 Te 3.08-3.22
Dy (0.7833, 0.5665, 0.7500)  6 Te 3.00-3.16
Dy (0.2167, 0.4335, 0.2500)  6 Te 3.00-3.16

2.
DFT (PBE) results for a geometry-optimized DyTh2Te4 structure.

Summary:
ρ: 8.1 g cm⁻³

Cell lengths 4.1669, 7.3755, 15.8974 Å; angles 90.00, 90.00, 106.41 degrees
Closest atoms and distances in Å follow each position.
Element x y z (fractional)
Te (0.5000, 0.0000, 0.0000)  4 Th 3.14
Te (0.2009, 0.4018, 0.8670)  2 Dy 3.10, 3 Th 3.17-3.19
Te (0.9423, 0.8847, 0.7500)  2 Dy 3.11, 2 Th 3.26
Te (0.7991, 0.5982, 0.1330)  2 Dy 3.10, 3 Th 3.17-3.19
Te (0.7991, 0.5982, 0.3670)  2 Dy 3.10, 3 Th 3.17-3.19
Te (0.2009, 0.4018, 0.6330)  2 Dy 3.10, 3 Th 3.17-3.19
Te (0.0577, 0.1153, 0.2500)  2 Dy 3.11, 2 Th 3.26
Te (0.5000, 0.0000, 0.5000)  4 Th 3.14
Th (0.8500, 0.7000, 0.5624)  6 Te 3.14-3.26
Th (0.1500, 0.3000, 0.0624)  6 Te 3.14-3.26
Th (0.1500, 0.3000, 0.4376)  6 Te 3.14-3.26
Th (0.8500, 0.7000, 0.9376)  6 Te 3.14-3.26
Dy (0.3945, 0.7890, 0.2500)  6 Te 3.10-3.11
Dy (0.6055, 0.2110, 0.7500)  6 Te 3.10-3.11

3.
DFT (PBE) results for a geometry-optimized Dy2ThTe4 structure.

Summary:
ρ: 7.7 g cm⁻³

Cell lengths 4.2971, 7.4658, 14.9079 Å; angles 90.00, 90.00, 106.73 degrees
Closest atoms and distances in Å follow each position.
Element x y z (fractional)
Th (0.3740, 0.7480, 0.2500)  6 Te 3.18
Th (0.6260, 0.2520, 0.7500)  6 Te 3.18
Dy (0.8649, 0.7298, 0.5660)  6 Te 3.05-3.09
Dy (0.8649, 0.7298, 0.9340)  6 Te 3.05-3.09
Dy (0.1351, 0.2702, 0.4340)  6 Te 3.05-3.09
Dy (0.1351, 0.2702, 0.0660)  6 Te 3.05-3.09
Te (0.2237, 0.4474, 0.6234)  3 Dy 3.07-3.09, 2 Th 3.18
Te (0.5000, 0.0000, 0.0000)  4 Dy 3.05
Te (0.5000, 0.0000, 0.5000)  4 Dy 3.05
Te (0.9621, 0.9241, 0.7500)  2 Dy 3.08, 2 Th 3.18
Te (0.0379, 0.0759, 0.2500)  2 Dy 3.08, 2 Th 3.18
Te (0.7763, 0.5526, 0.3766)  3 Dy 3.07-3.09, 2 Th 3.18
Te (0.2237, 0.4474, 0.8766)  3 Dy 3.07-3.09, 2 Th 3.18
Te (0.7763, 0.5526, 0.1234)  3 Dy 3.07-3.09, 2 Th 3.18

4.
DFT (PBE) results for a geometry-optimized Dy4ThTe5 structure.

Summary:
ρ: 8.5 g cm⁻³

Cell lengths 4.2889, 6.2025, 11.7871 Å; angles 105.25, 100.48, 90.00 degrees
Closest atoms and distances in Å follow each position.
Element x y z (fractional)
Te (0.3943, 0.8943, 0.7886)  4 Dy 3.05-3.11, 2 Th 3.19
Te (0.6057, 0.1057, 0.2114)  4 Dy 3.05-3.11, 2 Th 3.19
Te (0.8026, 0.3026, 0.6052)  6 Dy 3.09-3.12
Te (0.0000, 0.5000, 0.0000)  4 Dy 3.04, 2 Th 3.10
Te (0.1974, 0.6974, 0.3948)  6 Dy 3.09-3.12
Th (0.0000, 0.0000, 0.0000)  6 Te 3.10-3.19
Dy (0.7970, 0.7970, 0.5941)  6 Te 3.05-3.10
Dy (0.4038, 0.4038, 0.8076)  6 Te 3.04-3.12
Dy (0.2030, 0.2030, 0.4059)  6 Te 3.05-3.10
Dy (0.5962, 0.5962, 0.1924)  6 Te 3.04-3.12

5.
DFT (PBE) results for a geometry-optimized DyTh2Te5 structure.

Summary:
ρ: 7.4 g cm⁻³

Cell lengths 5.2070, 7.3993, 7.3993 Å; angles 90.00, 90.00, 90.00 degrees
Closest atoms and distances in Å follow each position.
Element x y z (fractional)
Dy (0.0000, 0.0000, 0.0000)  2 Te 2.60
Te (0.0000, 0.2803, 0.7197)  1 Dy 2.93, 2 Te 3.25
Te (0.0000, 0.7197, 0.2803)  1 Dy 2.93, 2 Te 3.25
Te (0.5000, 0.0000, 0.0000)  2 Dy 2.60
Te (0.0000, 0.7197, 0.7197)  1 Dy 2.93, 2 Te 3.25
Te (0.0000, 0.2803, 0.2803)  1 Dy 2.93, 2 Te 3.25
Th (0.5000, 0.0000, 0.5000)  10 Te 3.70
Th (0.5000, 0.5000, 0.0000)  10 Te 3.70

6.
DFT (PBE) results for a geometry-optimized Dy3ThTe4 structure.

Summary:
ρ: 8.6 g cm⁻³

Cell lengths 4.3382, 7.6237, 7.6237 Å; angles 109.03, 90.00, 90.00 degrees
Closest atoms and distances in Å follow each position.
Element x y z (fractional)
Te (0.0000, 0.2589, 0.2589)  4 Dy 3.04-3.10, 2 Th 3.16
Te (0.5000, 0.2542, 0.7458)  5 Dy 3.05-3.10, 1 Th 3.16
Te (0.5000, 0.7458, 0.2542)  5 Dy 3.05-3.10, 1 Th 3.16
Te (0.0000, 0.7411, 0.7411)  4 Dy 3.04-3.10, 2 Th 3.16
Dy (0.5000, 0.5000, 0.5000)  6 Te 3.04-3.05
Dy (0.0000, 0.5000, 0.0000)  6 Te 3.10
Dy (0.0000, 0.0000, 0.5000)  6 Te 3.10
Th (0.5000, 0.0000, 0.0000)  6 Te 3.16

7.
DFT (PBE) results for a geometry-optimized DyTh2Te6 structure.

Summary:
ρ: 6.2 g cm⁻³

Cell lengths 7.3584, 7.3584, 13.7214 Å; angles 90.00, 90.00, 90.00 degrees
Closest atoms and distances in Å follow each position.
Element x y z (fractional)
Te (0.7992, 0.2008, 0.1628)  1 Dy 3.06, 2 Th 3.11-3.12
Te (0.2024, 0.7976, 0.5000)  1 Dy 3.10, 2 Th 3.13
Te (0.7008, 0.7008, 0.6628)  1 Dy 3.06, 2 Th 3.11-3.12
Te (0.2992, 0.2992, 0.3372)  1 Dy 3.06, 2 Th 3.11-3.12
Te (0.7024, 0.7024, 0.0000)  1 Dy 3.10, 2 Th 3.13
Te (0.2992, 0.2992, 0.6628)  1 Dy 3.06, 2 Th 3.11-3.12
Te (0.7008, 0.7008, 0.3372)  1 Dy 3.06, 2 Th 3.11-3.12
Te (0.7992, 0.2008, 0.8372)  1 Dy 3.06, 2 Th 3.11-3.12
Te (0.2976, 0.2976, 0.0000)  1 Dy 3.10, 2 Th 3.13
Te (0.2008, 0.7992, 0.1628)  1 Dy 3.06, 2 Th 3.11-3.12
Te (0.7976, 0.2024, 0.5000)  1 Dy 3.10, 2 Th 3.13
Te (0.2008, 0.7992, 0.8372)  1 Dy 3.06, 2 Th 3.11-3.12
Th (0.0000, 0.0000, 0.6683)  6 Te 3.11-3.13
Th (0.5000, 0.5000, 0.8317)  6 Te 3.11-3.13
Th (0.5000, 0.5000, 0.1683)  6 Te 3.11-3.13
Th (0.0000, 0.0000, 0.3317)  6 Te 3.11-3.13
Dy (0.5000, 0.5000, 0.5000)  6 Te 3.06-3.10
Dy (0.0000, 0.0000, 0.0000)  6 Te 3.06-3.10

8.
DFT (PBE) results for a geometry-optimized Dy3ThTe4 structure.

Summary:
ρ: 8.6 g cm⁻³

Cell lengths 4.2638, 4.2638, 30.2233 Å; angles 90.00, 90.00, 120.00 degrees
Closest atoms and distances in Å follow each position.
Element x y z (fractional)
Te (0.0000, 0.0000, 0.3175)  3 Dy 3.07, 3 Th 3.20
Te (0.6667, 0.3333, 0.5609)  6 Dy 3.07
Te (0.0000, 0.0000, 0.6825)  3 Dy 3.07, 3 Th 3.20
Te (0.6667, 0.3333, 0.9391)  6 Dy 3.07
Te (0.3333, 0.6667, 0.4391)  6 Dy 3.07
Te (0.3333, 0.6667, 0.0609)  6 Dy 3.07
Te (0.0000, 0.0000, 0.1825)  3 Dy 3.07, 3 Th 3.20
Te (0.0000, 0.0000, 0.8175)  3 Dy 3.07, 3 Th 3.20
Th (0.3333, 0.6667, 0.2500)  6 Te 3.20
Th (0.6667, 0.3333, 0.7500)  6 Te 3.20
Dy (0.3333, 0.6667, 0.8782)  6 Te 3.07
Dy (0.6667, 0.3333, 0.3782)  6 Te 3.07
Dy (0.6667, 0.3333, 0.1218)  6 Te 3.07
Dy (0.3333, 0.6667, 0.6218)  6 Te 3.07
Dy (0.0000, 0.0000, 0.0000)  6 Te 3.07
Dy (0.0000, 0.0000, 0.5000)  6 Te 3.07

9.
DFT (PBE) results for a geometry-optimized DyThTe structure.

Summary:
ρ: 9.5 g cm⁻³

Cell lengths 3.8245, 5.2476, 5.2476 Å; angles 120.00, 90.00, 90.00 degrees
Closest atoms and distances in Å follow each position.
Element x y z (fractional)
Dy (0.5004, 0.6667, 0.3333)  3 Te 3.03
Te (0.4990, 0.3333, 0.6667)  3 Dy 3.03
Th (0.0006, 0.0000, 0.0000)  6 Te 3.58-3.59, 6 Dy 3.58, 2 Th 3.82

10.
DFT (PBE) results for a geometry-optimized DyThTe structure.

Summary:
ρ: 9.1 g cm⁻³

Cell lengths 3.8728, 3.8728, 14.6716 Å; angles 90.00, 90.00, 120.00 degrees
Closest atoms and distances in Å follow each position.
Element x y z (fractional)
Dy (0.3333, 0.6667, 0.1950)  3 Te 3.12
Dy (0.3333, 0.6667, 0.8050)  3 Te 3.12
Te (0.0000, 0.0000, 0.3430)  3 Dy 3.12, 3 Th 3.21
Te (0.0000, 0.0000, 0.6570)  3 Dy 3.12, 3 Th 3.21
Th (0.0000, 0.0000, 0.0000)  6 Dy 3.63, 6 Th 3.87
Th (0.3333, 0.6667, 0.5000)  6 Te 3.21

| no. | ΔE_f (raw) (eV/atom) |
| --- | --- |
| 1 | -1.1608 |
| 2 | -1.1314 |
| 3 | -1.2338 |
| 4 | -1.2140 |
| 5 | -0.3538 |
| 6 | -1.1984 |
| 7 | -1.0177 |
| 8 | -1.2061 |
| 9 | -0.3586 |
| 10 | -0.6418 |